Entry 1:
## ScZnRu (GGA-PBEsol)

Data for an optimized crystal structure of ScZnRu.

a b c (Å): 3.074 3.074 6.067
angles (deg): 90.00 90.00 120.00
Fractional positions:
Sc 0.000 0.000 0.000
Zn 0.333 0.667 0.618
Ru 0.667 0.333 0.307

Values from the calculation:
The value obtained for the uncorrected energy is -6.177 eV per atom. The formation energy comes out at -0.06 eV/atom. The magnetic moment comes out at 0.000 μB/atom.


Entry 2:
## RbPt2BrN (GGA-PBEsol)

Data for an optimized crystal structure of RbPt2BrN.

a b c (Å): 5.192 5.192 6.039
angles (deg): 90.00 90.00 90.00
Fractional positions:
Rb 0.000 0.000 0.000
Pt 0.000 0.500 0.000
Pt 0.500 0.000 0.000
Br 0.000 0.000 0.500
N 0.500 0.500 0.500

Values from the calculation:
The value obtained for the uncorrected energy is -2.323 eV per atom. The magnetic moment comes out at 0.399 μB/atom.


Entry 3:
## Y2ZnCo2 (GGA-PBEsol)

Data for an optimized crystal structure of Y2ZnCo2.

a b c (Å): 6.682 6.682 3.940
angles (deg): 90.00 90.00 90.00
Fractional positions:
Y 0.181 0.319 0.000
Y 0.319 0.819 0.000
Y 0.681 0.181 0.000
Y 0.819 0.681 0.000
Zn 0.000 0.000 0.500
Zn 0.500 0.500 0.500
Co 0.117 0.617 0.500
Co 0.383 0.117 0.500
Co 0.617 0.883 0.500
Co 0.883 0.383 0.500

Values from the calculation:
The value obtained for the uncorrected energy is -6.346 eV per atom. The formation energy comes out at -0.21 eV/atom. The magnetic moment comes out at 0.000 μB/atom.


Entry 4:
## CoSi2Rh (GGA-PBEsol)

Data for an optimized crystal structure of CoSi2Rh.

a b c (Å): 2.744 2.744 21.990
angles (deg): 90.00 90.00 120.00
Fractional positions:
Co 0.000 0.000 0.000
Co 0.333 0.667 0.667
Co 0.667 0.333 0.333
Si 0.000 0.000 0.254
Si 0.000 0.000 0.746
Si 0.333 0.667 0.412
Si 0.333 0.667 0.921
Si 0.667 0.333 0.079
Si 0.667 0.333 0.588
Rh 0.000 0.000 0.500
Rh 0.333 0.667 0.167
Rh 0.667 0.333 0.833

Values from the calculation:
The value obtained for the uncorrected energy is -7.379 eV per atom. The value obtained for the energy above the lowest structure with this stoichiometry is 0.089 eV/f.u. The magnetic moment comes out at 0.000 μB/atom.


Entry 5:
## MnP2SI (GGA-PBEsol)

Data for an optimized crystal structure of MnP2SI.

a b c (Å): 5.007 5.007 5.006
angles (deg): 90.00 90.00 90.00
Fractional positions:
Mn 0.000 0.000 0.000
P 0.000 0.500 0.500
P 0.500 0.000 0.500
S 0.500 0.500 0.000
I 0.500 0.500 0.500

Values from the calculation:
The value obtained for the uncorrected energy is -3.947 eV per atom. The magnetic moment comes out at 0.912 μB/atom.


Entry 6:
## K2InRu (GGA-PBEsol)

Data for an optimized crystal structure of K2InRu.

a b c (Å): 3.660 3.706 10.012
angles (deg): 90.00 100.31 90.00
Fractional positions:
K 0.000 0.000 0.000
K 0.280 0.500 0.587
In 0.646 0.000 0.312
Ru 0.128 0.500 0.275

Values from the calculation:
The value obtained for the uncorrected energy is -3.441 eV per atom. The formation energy comes out at 0.41 eV/atom. The magnetic moment comes out at 0.000 μB/atom.


Entry 7:
## Mg2HgBr (GGA-PBEsol)

Data for an optimized crystal structure of Mg2HgBr.

a b c (Å): 3.488 6.147 8.979
angles (deg): 90.00 90.00 90.00
Fractional positions:
Mg 0.000 0.000 0.247
Mg 0.000 0.000 0.753
Mg 0.500 0.500 0.253
Mg 0.500 0.500 0.747
Hg 0.000 0.500 0.000
Hg 0.500 0.000 0.500
Br 0.000 0.500 0.500
Br 0.500 0.000 0.000

Values from the calculation:
The value obtained for the uncorrected energy is -1.813 eV per atom. The value obtained for the energy above the lowest structure with this stoichiometry is 0.000 eV/f.u. The magnetic moment comes out at 0.000 μB/atom.


Entry 8:
## CdMo2As (GGA-PBEsol)

Data for an optimized crystal structure of CdMo2As.

a b c (Å): 6.409 6.409 6.409
angles (deg): 90.00 90.00 90.00
Fractional positions:
Cd 0.000 0.000 0.000
Cd 0.000 0.500 0.500
Cd 0.500 0.000 0.500
Cd 0.500 0.500 0.000
Mo 0.000 0.000 0.500
Mo 0.000 0.500 0.000
Mo 0.250 0.250 0.750
Mo 0.250 0.750 0.250
Mo 0.500 0.000 0.000
Mo 0.500 0.500 0.500
Mo 0.750 0.250 0.250
Mo 0.750 0.750 0.750
As 0.250 0.250 0.250
As 0.250 0.750 0.750
As 0.750 0.250 0.750
As 0.750 0.750 0.250

Values from the calculation:
The value obtained for the uncorrected energy is -6.901 eV per atom. The formation energy comes out at 0.56 eV/atom. The value obtained for the energy above the lowest structure with this stoichiometry is 1.672 eV/f.u. The magnetic moment comes out at 0.000 μB/atom.